The following is a DFT calculation (PBE+U) of a geometry-optimized SrNd3Fe4As4O4 structure.

Results
* energy: -101.1 eV/f.u.
* magnetic moment: 0.94 μB per atom

Cell lengths 10.340, 10.340, 10.340 Å; angles 147.33, 147.33, 46.87 degrees
Sites, in units of the cell vectors:
Sr 0.000 0.000 0.000
Nd 0.125 0.625 0.500
Nd 0.508 0.508 0.000
Nd 0.625 0.125 0.500
Fe 0.064 0.064 0.500
Fe 0.064 0.565 0.000
Fe 0.565 0.064 0.000
Fe 0.565 0.565 0.500
As 0.229 0.229 0.000
As 0.399 0.899 0.500
As 0.729 0.729 0.000
As 0.899 0.399 0.500
O 0.324 0.324 0.512
O 0.324 0.812 0.000
O 0.812 0.324 0.000
O 0.812 0.812 0.488